(1)
Here is a relaxed Ge2MoS crystal from the Alexandria database. Energies are from GGA-PBE.

Structure (CIF):
```
data_Ge2MoS
_space_group_name_H-M_alt 'P 1'
_space_group_IT_number 1
_cell_length_a 6.781
_cell_length_b 6.781
_cell_length_c 6.781
_cell_angle_alpha 128.32
_cell_angle_beta 128.32
_cell_angle_gamma 76.11
loop_
_space_group_symop_operation_xyz
'x,y,z'
loop_
_atom_site_label
_atom_site_fract_x
_atom_site_fract_y
_atom_site_fract_z
Ge1 0.124 0.625 0.999
Ge2 0.375 0.374 0.499
Ge3 0.626 0.125 0.001
Ge4 0.875 0.876 0.501
Mo1 0.000 0.000 0.000
Mo2 0.750 0.250 0.500
S1 0.250 0.750 0.500
S2 0.500 0.500 0.000
```

Properties
ΔE_f (raw): 14.48 kcal/mol of atoms
Total DFT energy (no corrections): -5.420 eV/atom

=====

(2)
Here is a relaxed Ge2Mo2S crystal from the Alexandria database. Energies are from GGA-PBE.

Structure (CIF):
```
data_Ge2Mo2S
_space_group_name_H-M_alt 'P 1'
_space_group_IT_number 1
_cell_length_a 6.826
_cell_length_b 6.826
_cell_length_c 6.826
_cell_angle_alpha 147.98
_cell_angle_beta 147.98
_cell_angle_gamma 45.92
loop_
_space_group_symop_operation_xyz
'x,y,z'
loop_
_atom_site_label
_atom_site_fract_x
_atom_site_fract_y
_atom_site_fract_z
Ge1 0.096 0.096 0.000
Ge2 0.904 0.904 0.000
Mo1 0.250 0.750 0.500
Mo2 0.750 0.250 0.500
S1 0.500 0.500 0.000
```

Properties
ΔE_f (raw): 14.23 kcal/mol of atoms
Total DFT energy (no corrections): -6.388 eV/atom

=====

- Which of these has the highest ΔE_f (raw)?
  Ge2MoS

=====

- Which value of total DFT energy (no corrections) does entry 2 give?
  -6.388 eV/atom

=====

- The highest ΔE_f (raw) belongs to which entry?
  Ge2MoS